Entry 1:
Compound: Y3ZrSe6
Source: Alexandria via LeMat-Bulk
Functional: PBE-GGA
Structure: relaxed

Results
- DOS at the Fermi energy: 0.502 states/eV per atom
- Density: 4.85 g/cm³
- Energy relative to the elements, uncorrected: -1.658 eV/atom

Lattice parameters (Å, degrees): 8.291 8.291 8.291 91.23 91.23 91.23
Fractional positions:
Y: 0.078 0.747 0.586
Y: 0.253 0.414 0.922
Y: 0.414 0.922 0.253
Y: 0.586 0.078 0.747
Y: 0.747 0.586 0.078
Y: 0.922 0.253 0.414
Zr: 0.000 0.000 0.000
Zr: 0.500 0.500 0.500
Se: 0.045 0.687 0.917
Se: 0.083 0.955 0.313
Se: 0.190 0.413 0.578
Se: 0.313 0.083 0.955
Se: 0.413 0.578 0.190
Se: 0.422 0.810 0.587
Se: 0.578 0.190 0.413
Se: 0.587 0.422 0.810
Se: 0.687 0.917 0.045
Se: 0.810 0.587 0.422
Se: 0.917 0.045 0.687
Se: 0.955 0.313 0.083

***

Entry 2:
Compound: Y2ZrSe2
Source: Alexandria via LeMat-Bulk
Functional: PBE-GGA
Structure: relaxed

Results
- Relative energy among the computed polymorphs: 115 meV/atom
- DOS at the Fermi energy: 0.488 states/eV per atom
- Density: 5.18 g/cm³
- Energy relative to the elements, uncorrected: -0.531 eV/atom

Lattice parameters (Å, degrees): 5.267 5.267 9.874 90.00 90.00 90.00
Fractional positions:
Y: 0.000 0.000 0.161
Y: 0.000 0.000 0.839
Y: 0.500 0.500 0.339
Y: 0.500 0.500 0.661
Zr: 0.000 0.000 0.500
Zr: 0.500 0.500 0.000
Se: 0.000 0.500 0.250
Se: 0.000 0.500 0.750
Se: 0.500 0.000 0.250
Se: 0.500 0.000 0.750

***

Entry 3:
Compound: YZr3Se
Source: Alexandria via LeMat-Bulk
Functional: PBE-GGA
Structure: relaxed

Results
- Relative energy among the computed polymorphs: 1594 meV/atom
- DOS at the Fermi energy: 1.620 states/eV per atom
- Density: 5.14 g/cm³
- Energy relative to the elements, uncorrected: 1.355 eV/atom

Lattice parameters (Å, degrees): 5.224 5.224 5.224 90.00 90.00 90.00
Fractional positions:
Y: 0.000 0.000 0.000
Zr: 0.000 0.000 0.500
Zr: 0.000 0.500 0.000
Zr: 0.500 0.000 0.000
Se: 0.500 0.500 0.500

***

Entry 4:
Compound: YZrSe4
Source: Alexandria via LeMat-Bulk
Functional: PBE-GGA
Structure: relaxed

Results
- Relative energy among the computed polymorphs: 1329 meV/atom
- DOS at the Fermi energy: 0.996 states/eV per atom
- Density: 6.05 g/cm³
- Energy relative to the elements, uncorrected: 0.121 eV/atom

Lattice parameters (Å, degrees): 5.773 5.773 5.773 60.00 60.00 60.00
Fractional positions:
Y: 0.000 0.000 0.000
Zr: 0.750 0.750 0.750
Se: 0.375 0.375 0.375
Se: 0.375 0.375 0.874
Se: 0.375 0.874 0.375
Se: 0.874 0.375 0.375

***

no.,size of the total moment (μB/f.u.)
1,1.015
2,0.000
3,1.309
4,2.093